Model w:
The following is a PBE calculation of a geometry-optimized Nd2Dy5Tm2 structure, from the Alexandria database.

Values from the calculation:
Total magnetic moment   0.000 μB per formula unit
Crystal system   orthorhombic

Cell lengths 10.063, 10.063, 10.063 Å; angles 84.58, 108.50, 140.99 degrees
Fractional coordinates of all 18 atoms:
Nd1 0.002 0.127 0.128
Nd2 0.002 0.373 0.375
Nd3 0.998 0.627 0.625
Nd4 0.998 0.873 0.872
Dy1 0.091 0.469 0.908
Dy2 0.091 0.682 0.122
Dy3 0.098 0.101 0.497
Dy4 0.403 0.201 0.307
Dy5 0.403 0.596 0.702
Dy6 0.561 0.182 0.092
Dy7 0.561 0.969 0.878
Dy8 0.604 0.601 0.503
Dy9 0.895 0.096 0.693
Dy10 0.895 0.701 0.298
Tm1 0.457 0.457 0.000
Tm2 0.457 0.957 0.500
Tm3 0.537 0.799 0.238
Tm4 0.560 0.299 0.762


Model x:
The following is a PBE calculation of a geometry-optimized Nd2Dy5Tm2 structure, from the Alexandria database.

Values from the calculation:
Total magnetic moment   0.000 μB per formula unit
Crystal system   triclinic

Cell lengths 6.159, 6.160, 9.413 Å; angles 90.11, 109.05, 119.82 degrees
Fractional coordinates of all 9 atoms:
Nd1 0.056 0.444 0.330
Nd2 0.944 0.556 0.670
Dy1 0.278 0.223 0.669
Dy2 0.387 0.110 0.331
Dy3 0.500 0.000 0.000
Dy4 0.613 0.890 0.669
Dy5 0.722 0.777 0.331
Tm1 0.167 0.332 0.000
Tm2 0.833 0.668 0.000


Tell me which of them is the most stable. Sure, it is model x.


Model w:
The following is a PBE calculation of a geometry-optimized Nd3Dy2Tm2 structure, from the Alexandria database.

Values from the calculation:
Total magnetic moment   0.000 μB per formula unit
Crystal system   monoclinic

Cell lengths 8.956, 8.956, 8.536 Å; angles 118.04, 118.04, 22.63 degrees
Fractional coordinates of all 7 atoms:
Nd1 0.000 0.000 0.000
Nd2 0.214 0.214 0.297
Nd3 0.786 0.786 0.703
Dy1 0.435 0.435 0.589
Dy2 0.565 0.565 0.411
Tm1 0.144 0.144 0.823
Tm2 0.856 0.856 0.177


Model x:
The following is a PBE calculation of a geometry-optimized Nd3Dy2Tm2 structure, from the Alexandria database.

Values from the calculation:
Total magnetic moment   0.000 μB per formula unit
Crystal system   orthorhombic

Cell lengths 12.108, 12.108, 12.108 Å; angles 163.21, 153.45, 31.58 degrees
Fractional coordinates of all 7 atoms:
Nd1 0.000 0.000 0.000
Nd2 0.277 0.777 0.500
Nd3 0.723 0.223 0.500
Dy1 0.421 0.421 0.000
Dy2 0.579 0.579 0.000
Tm1 0.142 0.142 0.000
Tm2 0.858 0.858 0.000


Tell me which of them is the most stable. Sure, it is model x.


Model w:
The following is a PBE calculation of a geometry-optimized Nd2Dy4Tm5 structure, from the Alexandria database.

Values from the calculation:
Total magnetic moment   0.000 μB per formula unit
Crystal system   orthorhombic

Cell lengths 12.507, 12.507, 12.507 Å; angles 164.00, 137.91, 45.30 degrees
Fractional coordinates of all 11 atoms:
Nd1 0.233 0.233 0.000
Nd2 0.767 0.767 0.000
Dy1 0.097 0.097 0.000
Dy2 0.192 0.500 0.692
Dy3 0.808 0.500 0.308
Dy4 0.903 0.903 0.000
Tm1 0.167 0.359 0.807
Tm2 0.448 0.641 0.807
Tm3 0.500 0.000 0.500
Tm4 0.552 0.359 0.193
Tm5 0.833 0.641 0.193


Model x:
The following is a PBE calculation of a geometry-optimized Nd2Dy4Tm5 structure, from the Alexandria database.

Values from the calculation:
Total magnetic moment   0.000 μB per formula unit
Crystal system   triclinic

Cell lengths 3.540, 8.673, 11.744 Å; angles 75.90, 81.35, 89.97 degrees
Fractional coordinates of all 11 atoms:
Nd1 0.092 0.230 0.316
Nd2 0.908 0.770 0.684
Dy1 0.182 0.954 0.135
Dy2 0.454 0.140 0.593
Dy3 0.546 0.860 0.407
Dy4 0.818 0.046 0.865
Tm1 0.000 0.500 0.500
Tm2 0.271 0.680 0.957
Tm3 0.363 0.408 0.774
Tm4 0.637 0.592 0.226
Tm5 0.729 0.320 0.043


Tell me which of them is the most stable. Sure, it is model x.


Model w:
The following is a PBE calculation of a geometry-optimized Nd5Dy2Tm3 structure, from the Alexandria database.

Values from the calculation:
Total magnetic moment   0.000 μB per formula unit
Crystal system   orthorhombic

Cell lengths 9.930, 9.930, 9.930 Å; angles 123.40, 93.32, 113.05 degrees
Fractional coordinates of all 20 atoms:
Nd1 0.004 0.750 0.254
Nd2 0.128 0.103 0.231
Nd3 0.250 0.250 0.000
Nd4 0.372 0.603 0.974
Nd5 0.496 0.750 0.746
Nd6 0.504 0.250 0.254
Nd7 0.628 0.397 0.026
Nd8 0.750 0.750 0.000
Nd9 0.872 0.897 0.769
Nd10 0.996 0.250 0.746
Dy1 0.119 0.411 0.530
Dy2 0.381 0.911 0.292
Dy3 0.619 0.089 0.708
Dy4 0.881 0.589 0.470
Tm1 0.124 0.751 0.874
Tm2 0.250 0.750 0.500
Tm3 0.376 0.251 0.627
Tm4 0.624 0.749 0.373
Tm5 0.750 0.250 0.500
Tm6 0.876 0.249 0.126


Model x:
The following is a PBE calculation of a geometry-optimized Nd5Dy2Tm3 structure, from the Alexandria database.

Values from the calculation:
Total magnetic moment   0.000 μB per formula unit
Crystal system   monoclinic

Cell lengths 9.163, 9.163, 10.005 Å; angles 108.13, 108.13, 108.67 degrees
Fractional coordinates of all 20 atoms:
Nd1 0.021 0.979 0.750
Nd2 0.134 0.373 0.755
Nd3 0.230 0.770 0.750
Nd4 0.271 0.729 0.250
Nd5 0.373 0.134 0.255
Nd6 0.627 0.866 0.745
Nd7 0.729 0.271 0.750
Nd8 0.770 0.230 0.250
Nd9 0.866 0.627 0.245
Nd10 0.979 0.021 0.250
Dy1 0.225 0.466 0.443
Dy2 0.466 0.225 0.943
Dy3 0.534 0.775 0.057
Dy4 0.775 0.534 0.557
Tm1 0.030 0.278 0.058
Tm2 0.278 0.030 0.558
Tm3 0.477 0.523 0.250
Tm4 0.523 0.477 0.750
Tm5 0.722 0.970 0.442
Tm6 0.970 0.722 0.942


Tell me which of them is the most stable. Sure, it is model x.


Model w:
The following is a PBE calculation of a geometry-optimized Nd5Dy2Tm12 structure, from the Alexandria database.

Values from the calculation:
Total magnetic moment   0.000 μB per formula unit
Crystal system   monoclinic

Cell lengths 9.753, 9.753, 10.330 Å; angles 109.66, 109.66, 42.03 degrees
Fractional coordinates of all 19 atoms:
Nd1 0.000 0.000 0.000
Nd2 0.188 0.188 0.681
Nd3 0.318 0.318 0.290
Nd4 0.682 0.682 0.710
Nd5 0.812 0.812 0.319
Dy1 0.272 0.728 0.500
Dy2 0.728 0.272 0.500
Tm1 0.025 0.025 0.747
Tm2 0.089 0.595 0.632
Tm3 0.090 0.584 0.979
Tm4 0.405 0.911 0.368
Tm5 0.416 0.910 0.021
Tm6 0.498 0.498 0.826
Tm7 0.502 0.502 0.174
Tm8 0.584 0.090 0.979
Tm9 0.595 0.089 0.632
Tm10 0.910 0.416 0.021
Tm11 0.911 0.405 0.368
Tm12 0.975 0.975 0.253


Model x:
The following is a PBE calculation of a geometry-optimized Nd5Dy2Tm12 structure, from the Alexandria database.

Values from the calculation:
Total magnetic moment   0.000 μB per formula unit
Crystal system   triclinic

Cell lengths 6.136, 9.389, 10.624 Å; angles 78.95, 84.37, 90.00 degrees
Fractional coordinates of all 19 atoms:
Nd1 0.000 0.000 0.000
Nd2 0.159 0.632 0.053
Nd3 0.263 0.054 0.421
Nd4 0.737 0.946 0.579
Nd5 0.841 0.368 0.947
Dy1 0.420 0.682 0.474
Dy2 0.580 0.318 0.526
Tm1 0.054 0.213 0.683
Tm2 0.104 0.422 0.369
Tm3 0.211 0.840 0.737
Tm4 0.317 0.263 0.105
Tm5 0.369 0.473 0.788
Tm6 0.475 0.894 0.158
Tm7 0.525 0.106 0.842
Tm8 0.631 0.527 0.212
Tm9 0.683 0.737 0.895
Tm10 0.789 0.160 0.263
Tm11 0.896 0.578 0.631
Tm12 0.946 0.787 0.317


Tell me which of them is the most stable. Sure, it is model x.


Model w:
The following is a PBE calculation of a geometry-optimized Nd2Dy9Tm structure, from the Alexandria database.

Values from the calculation:
Total magnetic moment   0.000 μB per formula unit
Crystal system   tetragonal

Cell lengths 5.036, 5.036, 15.098 Å; angles 90.00, 90.00, 90.00 degrees
Fractional coordinates of all 12 atoms:
Nd1 0.000 0.000 0.168
Nd2 0.000 0.000 0.832
Dy1 0.000 0.500 0.000
Dy2 0.000 0.500 0.336
Dy3 0.000 0.500 0.664
Dy4 0.500 0.000 0.000
Dy5 0.500 0.000 0.336
Dy6 0.500 0.000 0.664
Dy7 0.500 0.500 0.168
Dy8 0.500 0.500 0.500
Dy9 0.500 0.500 0.832
Tm1 0.000 0.000 0.500


Model x:
The following is a PBE calculation of a geometry-optimized Nd2Dy9Tm structure, from the Alexandria database.

Values from the calculation:
Total magnetic moment   0.001 μB per formula unit
Crystal system   hexagonal

Cell lengths 11.260, 11.260, 3.488 Å; angles 90.00, 90.00, 120.00 degrees
Fractional coordinates of all 12 atoms:
Nd1 0.333 0.667 0.000
Nd2 0.667 0.333 0.000
Dy1 0.000 0.500 0.000
Dy2 0.173 0.346 0.500
Dy3 0.173 0.827 0.500
Dy4 0.346 0.173 0.500
Dy5 0.500 0.000 0.000
Dy6 0.500 0.500 0.000
Dy7 0.654 0.827 0.500
Dy8 0.827 0.173 0.500
Dy9 0.827 0.654 0.500
Tm1 0.000 0.000 0.000


Tell me which of them is the most stable. Sure, it is model w.


Model w:
The following is a PBE calculation of a geometry-optimized NdDy5Tm5 structure, from the Alexandria database.

Values from the calculation:
Total magnetic moment   0.000 μB per formula unit
Crystal system   triclinic

Cell lengths 6.786, 6.940, 8.251 Å; angles 76.42, 76.91, 72.71 degrees
Fractional coordinates of all 11 atoms:
Nd1 0.000 0.000 0.000
Dy1 0.000 0.500 0.000
Dy2 0.157 0.630 0.359
Dy3 0.322 0.766 0.656
Dy4 0.678 0.234 0.344
Dy5 0.843 0.370 0.641
Tm1 0.213 0.139 0.317
Tm2 0.354 0.252 0.714
Tm3 0.500 0.500 0.000
Tm4 0.646 0.748 0.286
Tm5 0.787 0.861 0.683


Model x:
The following is a PBE calculation of a geometry-optimized NdDy5Tm5 structure, from the Alexandria database.

Values from the calculation:
Total magnetic moment   0.018 μB per formula unit
Crystal system   hexagonal

Cell lengths 6.005, 6.005, 11.623 Å; angles 90.00, 90.00, 120.00 degrees
Fractional coordinates of all 11 atoms:
Nd1 0.000 0.000 0.000
Dy1 0.000 0.000 0.322
Dy2 0.000 0.000 0.678
Dy3 0.333 0.667 0.156
Dy4 0.333 0.667 0.844
Dy5 0.667 0.333 0.000
Tm1 0.000 0.500 0.500
Tm2 0.500 0.000 0.500
Tm3 0.500 0.500 0.500
Tm4 0.667 0.333 0.265
Tm5 0.667 0.333 0.735


Tell me which of them is the most stable. Sure, it is model w.


Model w:
The following is a PBE calculation of a geometry-optimized Nd3DyTm structure, from the Alexandria database.

Values from the calculation:
Total magnetic moment   0.000 μB per formula unit
Crystal system   orthorhombic

Cell lengths 7.209, 3.629, 25.484 Å; angles 90.00, 90.00, 90.00 degrees
Fractional coordinates of all 20 atoms:
Nd1 0.118 0.250 0.148
Nd2 0.128 0.250 0.549
Nd3 0.130 0.250 0.750
Nd4 0.370 0.750 0.250
Nd5 0.372 0.750 0.049
Nd6 0.382 0.750 0.648
Nd7 0.618 0.250 0.352
Nd8 0.628 0.250 0.951
Nd9 0.630 0.250 0.750
Nd10 0.870 0.750 0.250
Nd11 0.872 0.750 0.451
Nd12 0.882 0.750 0.852
Dy1 0.124 0.250 0.352
Dy2 0.376 0.750 0.852
Dy3 0.624 0.250 0.148
Dy4 0.876 0.750 0.648
Tm1 0.126 0.250 0.951
Tm2 0.374 0.750 0.451
Tm3 0.626 0.250 0.549
Tm4 0.874 0.750 0.049


Model x:
The following is a PBE calculation of a geometry-optimized Nd3DyTm structure, from the Alexandria database.

Values from the calculation:
Total magnetic moment   0.000 μB per formula unit
Crystal system   triclinic

Cell lengths 3.578, 8.477, 11.833 Å; angles 72.74, 81.31, 77.82 degrees
Fractional coordinates of all 10 atoms:
Nd1 0.074 0.304 0.049
Nd2 0.285 0.079 0.849
Nd3 0.324 0.299 0.553
Nd4 0.676 0.701 0.447
Nd5 0.715 0.921 0.151
Nd6 0.926 0.696 0.951
Dy1 0.019 0.114 0.351
Dy2 0.981 0.886 0.649
Tm1 0.376 0.512 0.238
Tm2 0.624 0.488 0.762


Tell me which of them is the most stable. Sure, it is model w.